[1]
Crystalline LuMnRhAu at its relaxed geometry. Source: Alexandria via LeMat-Bulk, functional PBE-GGA.

abc: 4.664 4.664 4.664
angles: 60.00 60.00 60.00
Each line ends with the local moment (μB).
Positions (direct):
Mn 0.750 0.750 0.750  -3.94
Au 0.500 0.500 0.500  -0.03
Rh 0.000 0.000 0.000  -0.34
Lu 0.250 0.250 0.250  0.03

Raw total energy   -26.242 eV/cell
Crystal system   cubic
Mass density   12262 kg/m3
ΔH_f (0 K)   -0.4806 eV per atom

=====

[2]
Crystalline VCdMo2P at its relaxed geometry. Source: Alexandria via LeMat-Bulk, functional PBE-GGA.

abc: 4.992 4.401 4.992
angles: 90.00 90.00 90.00
Each line ends with the local moment (μB).
Positions (direct):
Mo 0.000 0.000 0.500  0.48
Mo 0.500 0.000 0.000  0.48
P 0.000 0.500 0.000  -0.04
V 0.500 0.500 0.500  0.58
Cd 0.000 0.000 0.000  0.01

Raw total energy   -24.587 eV/cell
Crystal system   tetragonal
Mass density   5849 kg/m3
ΔH_f (0 K)   2.5038 eV per atom

=====

[3]
Crystalline Th3P6Pd20 at its relaxed geometry. Source: Alexandria via LeMat-Bulk, functional PBE-GGA.

abc: 8.772 8.772 8.772
angles: 60.00 60.00 60.00
Positions (direct):
Pd 0.384 0.847 0.384
Pd 0.000 0.000 0.654
Pd 0.654 0.000 0.000
Pd 0.384 0.384 0.847
Pd 0.153 0.616 0.616
Pd 0.000 0.000 0.346
Pd 0.384 0.384 0.384
Pd 0.616 0.616 0.153
Pd 0.654 0.000 0.346
Pd 0.616 0.153 0.616
Pd 0.847 0.384 0.384
Pd 0.000 0.346 0.654
Pd 0.000 0.654 0.000
Pd 0.654 0.346 0.000
Pd 0.000 0.654 0.346
Pd 0.346 0.654 0.000
Pd 0.346 0.000 0.000
Pd 0.616 0.616 0.616
Pd 0.346 0.000 0.654
Pd 0.000 0.346 0.000
Th 0.750 0.750 0.750
Th 0.250 0.250 0.250
Th 0.000 0.000 0.000
P 0.264 0.264 0.736
P 0.736 0.736 0.264
P 0.264 0.736 0.264
P 0.264 0.736 0.736
P 0.736 0.264 0.264
P 0.736 0.264 0.736

Raw total energy   -179.017 eV/cell
Crystal system   cubic
Mass density   10473 kg/m3
ΔH_f (0 K)   -0.7049 eV per atom

=====

[4]
Crystalline Pr8PdPt2 at its relaxed geometry. Source: Alexandria via LeMat-Bulk, functional PBE-GGA.

abc: 6.468 7.797 7.797
angles: 111.93 100.58 100.58
Positions (direct):
Pt 0.489 0.320 0.687
Pt 0.489 0.687 0.320
Pr 0.599 0.347 0.082
Pr 0.354 0.654 0.922
Pr 0.978 0.206 0.789
Pr 0.175 0.365 0.365
Pr 0.599 0.082 0.347
Pr 0.978 0.789 0.206
Pr 0.354 0.922 0.654
Pr 0.795 0.646 0.646
Pd 0.189 0.016 0.016

Raw total energy   -60.341 eV/cell
Polymorph energy (0 for the lowest one)   8.6 kJ per mole of atoms
Crystal system   monoclinic
Mass density   7824 kg/m3
ΔH_f (0 K)   -0.4392 eV per atom

=====

[5]
Crystalline NbP2SI at its relaxed geometry. Source: Alexandria via LeMat-Bulk, functional PBE-GGA.

abc: 5.003 5.003 4.683
angles: 90.00 90.00 90.00
Positions (direct):
P 0.500 0.000 0.000
P 0.000 0.500 0.000
I 0.500 0.500 0.500
S 0.000 0.000 0.500
Nb 0.000 0.000 0.000

Raw total energy   -25.352 eV/cell
Polymorph energy (0 for the lowest one)   0.0 kJ per mole of atoms
Formation energy (no corrections)   243 meV per atom
Crystal system   tetragonal
Mass density   4446 kg/m3

=====

[6]
Crystalline IrBrN2O at its relaxed geometry. Source: Alexandria via LeMat-Bulk, functional PBE-GGA.

abc: 4.129 4.129 3.540
angles: 90.00 90.00 90.00
Each line ends with the local moment (μB).
Positions (direct):
N 0.500 0.000 0.000  0.00
N 0.000 0.500 0.000  0.00
Br 0.000 0.000 0.000  0.00
O 0.000 0.000 0.500  0.02
Ir 0.500 0.500 0.500  0.28

Raw total energy   -19.309 eV/cell
Formation energy (no corrections)   2567 meV per atom
Crystal system   tetragonal
Mass density   8697 kg/m3

=====

[7]
Crystalline Ca4Tl2Pb at its relaxed geometry. Source: Alexandria via LeMat-Bulk, functional PBE-GGA.

abc: 5.474 5.474 9.415
angles: 73.10 73.10 60.00
Positions (direct):
Tl 0.751 0.751 0.748
Tl 0.249 0.249 0.252
Ca 0.378 0.378 0.867
Ca 0.126 0.126 0.622
Ca 0.622 0.622 0.133
Ca 0.874 0.874 0.378
Pb 0.000 0.000 0.000

Raw total energy   -18.993 eV/cell
Crystal system   trigonal
Mass density   5600 kg/m3
ΔH_f (0 K)   -0.3638 eV per atom

=====

Q: The highest raw total energy belongs to which entry?
A: Ca4Tl2Pb

=====

What did the second record say?
Crystalline VCdMo2P at its relaxed geometry. Source: Alexandria via LeMat-Bulk, functional PBE-GGA.

abc: 4.992 4.401 4.992
angles: 90.00 90.00 90.00
Each line ends with the local moment (μB).
Positions (direct):
Mo 0.000 0.000 0.500  0.48
Mo 0.500 0.000 0.000  0.48
P 0.000 0.500 0.000  -0.04
V 0.500 0.500 0.500  0.58
Cd 0.000 0.000 0.000  0.01

Raw total energy   -24.587 eV/cell
Crystal system   tetragonal
Mass density   5849 kg/m3
ΔH_f (0 K)   2.5038 eV per atom

=====

Q: Look up the raw total energy of the sixth one.
A: -19.309 eV/cell

=====

Q: Which of these has the highest raw total energy?
A: Ca4Tl2Pb